[1]
DFT (PBE) results for a geometry-optimized Pb3W structure.

Cell and atoms, written as POSCAR:
```
Pb3W
1.0
4.112 -4.856 0.000
4.112 4.856 0.000
0.000 0.000 4.987
Pb W
6 2
Direct
0.124 0.876 0.750 Pb
0.168 0.403 0.750 Pb
0.403 0.168 0.250 Pb
0.597 0.832 0.750 Pb
0.832 0.597 0.250 Pb
0.876 0.124 0.250 Pb
0.347 0.653 0.250 W
0.653 0.347 0.750 W
```

Calculated values
For the formation enthalpy at 0 K, the calculation gives 940.1 meV per atom. As for the excess energy over the best structure of this formula in the dataset: 482 meV per atom. The space-group type is No. 63.

[2]
DFT (PBE) results for a geometry-optimized Na5In12Pb2 structure.

Cell and atoms, written as POSCAR:
```
Na5In12Pb2
1.0
4.191 -13.230 0.000
4.191 13.230 0.000
0.000 0.000 4.890
Na In Pb
5 12 2
Direct
0.000 0.000 0.000 Na
0.268 0.732 0.000 Na
0.368 0.632 0.500 Na
0.632 0.368 0.500 Na
0.732 0.268 0.000 Na
0.022 0.624 0.500 In
0.082 0.337 0.000 In
0.087 0.913 0.500 In
0.337 0.082 0.000 In
0.376 0.978 0.500 In
0.443 0.557 0.000 In
0.557 0.443 0.000 In
0.624 0.022 0.500 In
0.663 0.918 0.000 In
0.913 0.087 0.500 In
0.918 0.663 0.000 In
0.978 0.376 0.500 In
0.300 0.300 0.500 Pb
0.700 0.700 0.500 Pb
```

Calculated values
For the formation enthalpy at 0 K, the calculation gives -57.3 meV per atom. The space-group type is No. 65.

[3]
DFT (PBE) results for a geometry-optimized Pm2PrP3Rh12 structure.

Cell and atoms, written as POSCAR:
```
Pm2PrP3Rh12
1.0
4.548 2.626 4.277
-4.548 2.626 4.277
0.000 -5.252 4.277
Pm Pr P Rh
2 1 3 12
Direct
0.128 0.128 0.128 Pm
0.872 0.872 0.872 Pm
0.500 0.500 0.500 Pr
0.000 0.500 0.500 P
0.500 0.000 0.500 P
0.500 0.500 0.000 P
0.132 0.132 0.590 Rh
0.132 0.590 0.132 Rh
0.161 0.680 0.680 Rh
0.320 0.320 0.839 Rh
0.320 0.839 0.320 Rh
0.410 0.868 0.868 Rh
0.590 0.132 0.132 Rh
0.680 0.161 0.680 Rh
0.680 0.680 0.161 Rh
0.839 0.320 0.320 Rh
0.868 0.410 0.868 Rh
0.868 0.868 0.410 Rh
```

Calculated values
For the formation enthalpy at 0 K, the calculation gives -321.2 meV per atom. The space-group type is No. 166.

[4]
DFT (PBE) results for a geometry-optimized ScMnV2 structure.

Cell and atoms, written as POSCAR:
```
ScMnV2
1.0
-1.825 1.825 9.533
1.825 -1.825 9.533
1.825 1.825 -9.533
Sc Mn V
2 2 4
Direct
0.000 0.000 0.000 Sc
0.750 0.250 0.500 Sc
0.250 0.750 0.500 Mn
0.500 0.500 0.000 Mn
0.139 0.625 0.014 V
0.375 0.389 0.514 V
0.611 0.125 0.986 V
0.875 0.861 0.486 V
```

Calculated values
For the formation enthalpy at 0 K, the calculation gives 591.5 meV per atom. As for the excess energy over the best structure of this formula in the dataset: 391 meV per atom. The space-group type is No. 122.

[5]
DFT (PBE) results for a geometry-optimized As2Ru structure.

Cell and atoms, written as POSCAR:
```
As2Ru
1.0
4.587 0.000 0.000
-2.293 3.972 0.000
0.000 0.000 5.585
As Ru
4 2
Direct
0.333 0.667 0.020 As
0.333 0.667 0.480 As
0.667 0.333 0.520 As
0.667 0.333 0.980 As
0.000 0.000 0.250 Ru
0.000 0.000 0.750 Ru
```

Calculated values
For the formation enthalpy at 0 K, the calculation gives 635.4 meV per atom. The space-group type is No. 194.

[6]
DFT (PBE) results for a geometry-optimized ZrCd2Se structure.

Cell and atoms, written as POSCAR:
```
ZrCd2Se
1.0
3.559 0.000 0.000
0.000 3.559 0.000
0.000 0.000 6.946
Zr Cd Se
1 2 1
Direct
0.000 0.000 0.000 Zr
0.000 0.000 0.534 Cd
0.500 0.500 0.284 Cd
0.500 0.500 0.841 Se
```

Calculated values
The value obtained for the formation energy (no corrections) is -10.496 kcal/mol of atoms. The space-group type is No. 99.